VASP calculation (PBE) on a geometry-optimized Be3Nb2B2 structure.

Values from the calculation:
- Calculated density: 5.50 g cm⁻³
- Formation enthalpy at 0 K: -0.315 eV/atom
- Energy above the lowest structure with this stoichiometry: 0.73 eV per formula unit
- Magnetization: 0.00 μB/atom
- Crystal system: orthorhombic

Lattice parameters (Å, degrees): 3.3103 15.3055 5.5854 90.00 90.00 90.00
Space group Cmcm (No. 63)
Inequivalent atoms, fractional coordinates:
Be 0.0000 0.0597 0.0765 x8
Be 0.0000 0.2878 0.2500 x4
Nb 0.0000 0.3332 0.7500 x4
Nb 0.0000 0.4457 0.2500 x4
B 0.0000 0.1652 0.5969 x8